TlZn2AgCl6 | GGA-PBE | optimized geometry

The structure belongs to space group C2/c (No. 15); the cell edges are 13.372, 14.152 and 6.550 Å and the angles 90.00°, 101.40° and 90.00°. Symmetry generates all atoms from Tl at (0.000, 0.108, 0.250), Zn at (0.200, 0.424, 0.234), Ag at (0.000, 0.320, 0.750), Cl at (0.120, 0.292, 0.081), Cl at (0.130, 0.085, 0.714) and Cl at (0.141, 0.440, 0.548).

The calculated density is 3.58 g/cm3. As for the uncorrected formation energy: -0.979 eV/atom.